The following is a DFT calculation (PBE+U) of a geometry-optimized Fe4O7F structure.

symmetry: P-1, No. 2
polymorph energy (0 for the lowest one): 149 meV/atom

Cell and atoms, written as CIF:
```
data_Fe4O7F
_symmetry_space_group_name_H-M 'P 1'
_symmetry_Int_Tables_number 1
_cell_length_a 4.539
_cell_length_b 7.479
_cell_length_c 7.526
_cell_angle_alpha 105.64
_cell_angle_beta 91.51
_cell_angle_gamma 90.57
loop_
_symmetry_equiv_pos_as_xyz
'x,y,z'
loop_
_atom_site_label
_atom_site_type_symbol
_atom_site_fract_x
_atom_site_fract_y
_atom_site_fract_z
Fe1 Fe 0.000 0.000 0.000
Fe2 Fe 0.000 0.500 0.500
Fe3 Fe 0.019 0.239 0.733
Fe4 Fe 0.474 0.386 0.136
Fe5 Fe 0.499 0.875 0.628
Fe6 Fe 0.501 0.125 0.372
Fe7 Fe 0.526 0.614 0.864
Fe8 Fe 0.981 0.761 0.267
O1 O 0.175 0.537 0.287
O2 O 0.199 0.025 0.781
O3 O 0.207 0.276 0.516
O4 O 0.303 0.652 0.655
O5 O 0.305 0.152 0.149
O6 O 0.307 0.906 0.406
O7 O 0.311 0.401 0.901
O8 O 0.689 0.599 0.099
O9 O 0.693 0.094 0.594
O10 O 0.695 0.848 0.851
O11 O 0.697 0.348 0.345
O12 O 0.793 0.724 0.484
O13 O 0.801 0.975 0.219
O14 O 0.825 0.463 0.713
F1 F 0.192 0.776 0.029
F2 F 0.808 0.224 0.971
```